Record 1
Computed, not measured: crystalline Ti2NbCu2 at its relaxed geometry at the GGA-PBE level of DFT.

## Properties
The excess energy over the best structure of this formula in the dataset is 0.017 eV/atom. For the energy of formation from the pure elements, the calculation gives 0.1 eV/f.u. As for the crystal system: tetragonal. The value obtained for the calculated volume is 153.7 Å³ per cell.

abc: 7.3161 7.3161 2.8718
angles: 90.00 90.00 90.00
With the nearest neighbours (Å) after each atom.
Positions (direct):
Ti 0.3236 0.1764 0.5000  6 Cu 2.55-2.63
Ti 0.8236 0.3236 0.5000  6 Cu 2.55-2.63
Ti 0.1764 0.6764 0.5000  6 Cu 2.55-2.63
Ti 0.6764 0.8236 0.5000  6 Cu 2.55-2.63
Nb 0.0000 0.0000 0.0000  2 Nb 2.87, 4 Cu 2.91, 8 Ti 3.05
Nb 0.5000 0.5000 0.0000  2 Nb 2.87, 4 Cu 2.91, 8 Ti 3.05
Cu 0.1201 0.3799 0.0000  1 Cu 2.49, 6 Ti 2.55-2.63
Cu 0.8799 0.6201 0.0000  1 Cu 2.49, 6 Ti 2.55-2.63
Cu 0.3799 0.8799 0.0000  1 Cu 2.49, 6 Ti 2.55-2.63
Cu 0.6201 0.1201 0.0000  1 Cu 2.49, 6 Ti 2.55-2.63



Record 2
Computed, not measured: crystalline Pu2GaFe at its relaxed geometry at the GGA-PBE level of DFT.

## Properties
For the energy of formation from the pure elements, the calculation gives 1.7 eV/f.u. As for the crystal system: trigonal. The value obtained for the calculated volume is 78.3 Å³ per cell.

abc: 2.8541 2.8541 11.2208
angles: 82.69 82.69 60.00
With the nearest neighbours (Å) after each atom.
Positions (direct):
Pu 0.9082 0.9082 0.2754  6 Pu 2.85, 3 Fe 2.99, 1 Ga 3.06
Pu 0.0918 0.0918 0.7246  6 Pu 2.85, 3 Fe 2.99, 1 Ga 3.06
Fe 0.5000 0.5000 0.5000  6 Fe 2.85, 6 Pu 2.99
Ga 0.0000 0.0000 0.0000  6 Ga 2.85, 2 Pu 3.06



Record 3
Computed, not measured: crystalline ErLuNi at its relaxed geometry at the GGA-PBE level of DFT.

## Properties
The excess energy over the best structure of this formula in the dataset is 0.089 eV/atom. For the energy of formation from the pure elements, the calculation gives -0.6 eV/f.u. As for the crystal system: cubic. The value obtained for the calculated volume is 71.7 Å³ per cell.

abc: 4.6639 4.6639 4.6639
angles: 60.00 60.00 60.00
With the nearest neighbours (Å) after each atom.
Positions (direct):
Ni 0.2500 0.2500 0.2500  4 Lu 2.86, 4 Er 2.86
Lu 0.5000 0.5000 0.5000  4 Ni 2.86
Er 0.0000 0.0000 0.0000  4 Ni 2.86



Record 4
Computed, not measured: crystalline Fe2AgRu at its relaxed geometry at the GGA-PBE level of DFT.

## Properties
The excess energy over the best structure of this formula in the dataset is 0.034 eV/atom. For the energy of formation from the pure elements, the calculation gives 1.3 eV/f.u. As for the crystal system: orthorhombic. The value obtained for the calculated volume is 56.2 Å³ per cell.

abc: 3.7272 2.7026 6.2012
angles: 64.16 90.00 90.00
With the nearest neighbours (Å) after each atom.
Positions (direct):
Ru 0.5000 0.2500 0.2500  8 Fe 2.60, 2 Ru 2.70, 2 Ag 2.79
Ag 0.5000 0.7500 0.7500  2 Ag 2.70, 2 Ru 2.79, 8 Fe 2.80
Fe 0.0000 0.5346 0.4655  1 Fe 2.41, 4 Ru 2.60
Fe 0.0000 0.9654 0.0345  1 Fe 2.41, 4 Ru 2.60



Record 5
Computed, not measured: crystalline Tl3CuH at its relaxed geometry at the GGA-PBE level of DFT.

## Properties
The excess energy over the best structure of this formula in the dataset is 0.000 eV/atom. As for the crystal system: cubic. The value obtained for the calculated volume is 114.5 Å³ per cell.

abc: 4.8553 4.8553 4.8553
angles: 90.00 90.00 90.00
With the nearest neighbours (Å) after each atom.
Positions (direct):
H 0.0000 0.0000 0.0000  6 Tl 2.43
Tl 0.0000 0.0000 0.5000  2 H 2.43
Tl 0.0000 0.5000 0.0000  2 H 2.43
Tl 0.5000 0.0000 0.0000  2 H 2.43
Cu 0.5000 0.5000 0.5000  12 Tl 3.43



Record 6
Computed, not measured: crystalline PmHoSiNi at its relaxed geometry at the GGA-PBE level of DFT.

## Properties
The excess energy over the best structure of this formula in the dataset is 0.174 eV/atom. As for the raw formation energy: -41 kJ per mole of atoms. As for the crystal system: cubic. The value obtained for the calculated volume is 85.8 Å³ per cell.

abc: 4.9505 4.9505 4.9505
angles: 60.00 60.00 60.00
With the nearest neighbours (Å) after each atom.
Positions (direct):
Ni 0.2500 0.2500 0.2500  4 Ho 3.03, 4 Pm 3.03
Ho 0.0000 0.0000 0.0000  4 Ni 3.03, 4 Si 3.03
Pm 0.5000 0.5000 0.5000  4 Si 3.03, 4 Ni 3.03
Si 0.7500 0.7500 0.7500  4 Ho 3.03, 4 Pm 3.03



The lowest calculated volume belongs to which entry?
Fe2AgRu



The highest calculated volume belongs to which entry?
Ti2NbCu2